{
  "formula": "TaTlHg2",
  "functional": "PBE",
  "state": "relaxed",
  "spacegroup": "Pmmm, No. 47",
  "formation_enthalpy_0k_ev_per_fu": 2.14,
  "lattice": [[-1.633, 2.543, -0.433], [-3.179, -1.345, 4.095], [3.286, 2.695, 3.436]],
  "species": ["Hg", "Hg", "Ta", "Tl"],
  "fractional_positions": [[0.000, 0.000, 0.000], [0.500, 0.500, 0.000], [0.500, 0.000, 0.500], [0.000, 0.500, 0.500]]
}

***

{
  "formula": "ScPN",
  "functional": "PBE",
  "state": "relaxed",
  "spacegroup": "P3m1, No. 156",
  "raw_formation_energy_mev_per_atom": -418,
  "lattice": [[-0.597, -3.456, -0.696], [0.456, 1.092, 3.374], [-8.493, 1.322, 0.719]],
  "species": ["P", "P", "N", "N", "Sc", "Sc"],
  "fractional_positions": [[0.667, 0.333, 0.931], [0.333, 0.667, 0.393], [0.667, 0.333, 0.722], [0.667, 0.333, 0.316], [0.333, 0.667, 0.109], [0.333, 0.667, 0.724]]
}

***

{
  "formula": "Pr3Tm4Au4",
  "functional": "PBE",
  "state": "relaxed",
  "spacegroup": "Immm, No. 71",
  "formation_enthalpy_0k_ev_per_fu": -6.59,
  "lattice": [[-1.375, -4.599, 0.677], [3.925, -0.183, 6.730], [-7.683, 4.867, 0.100]],
  "species": ["Au", "Au", "Au", "Au", "Pr", "Pr", "Pr", "Tm", "Tm", "Tm", "Tm"],
  "fractional_positions": [[0.500, 0.192, 0.000], [0.209, 0.709, 0.418], [0.500, 0.808, 0.000], [0.791, 0.291, 0.582], [0.000, 0.500, 0.000], [0.104, 0.104, 0.209], [0.896, 0.896, 0.791], [0.674, 0.885, 0.347], [0.326, 0.115, 0.653], [0.674, 0.462, 0.347], [0.326, 0.538, 0.653]]
}

***

{
  "formula": "Ac2SmTcO8",
  "functional": "PBE",
  "state": "relaxed",
  "spacegroup": "P-1, No. 2",
  "raw_formation_energy_mev_per_atom": -2497,
  "lattice": [[5.297, -0.052, 0.010], [-0.032, 5.410, -0.002], [0.021, 0.012, 7.129]],
  "species": ["O", "O", "O", "O", "O", "O", "O", "O", "Tc", "Ac", "Ac", "Sm"],
  "fractional_positions": [[0.163, 0.822, 0.201], [0.173, 0.833, 0.798], [0.744, 0.758, 0.992], [0.256, 0.242, 0.008], [0.827, 0.167, 0.202], [0.837, 0.178, 0.799], [0.304, 0.299, 0.495], [0.696, 0.701, 0.505], [0.000, 0.000, 0.000], [0.509, 0.507, 0.243], [0.491, 0.493, 0.757], [0.000, 0.000, 0.500]]
}

***

{
  "formula": "AcCe3Pb3",
  "functional": "PBE",
  "state": "relaxed",
  "spacegroup": "P6_3/m, No. 176",
  "formation_enthalpy_0k_ev_per_fu": -1.85,
  "lattice": [[5.570, 0.000, 0.000], [0.000, 9.657, 0.000], [0.000, -4.829, 8.364]],
  "species": ["Pb", "Pb", "Pb", "Pb", "Pb", "Pb", "Ac", "Ac", "Ce", "Ce", "Ce", "Ce", "Ce", "Ce"],
  "fractional_positions": [[0.250, 0.072, 0.627], [0.250, 0.373, 0.446], [0.750, 0.627, 0.554], [0.750, 0.446, 0.072], [0.750, 0.928, 0.373], [0.250, 0.554, 0.928], [0.250, 0.667, 0.333], [0.750, 0.333, 0.667], [0.250, 0.230, 0.005], [0.250, 0.775, 0.770], [0.750, 0.225, 0.230], [0.750, 0.005, 0.775], [0.250, 0.995, 0.225], [0.750, 0.770, 0.995]]
}

***

{
  "formula": "Ag2Pt",
  "functional": "PBE",
  "state": "relaxed",
  "spacegroup": "P1, No. 1",
  "formation_enthalpy_0k_ev_per_fu": 0.07,
  "lattice": [[-0.778, 3.396, 3.564], [-0.330, -4.277, 6.313], [5.153, 1.122, 2.323]],
  "species": ["Pt", "Pt", "Pt", "Pt", "Ag", "Ag", "Ag", "Ag", "Ag", "Ag", "Ag", "Ag"],
  "fractional_positions": [[0.005, 0.658, 0.833], [0.998, 0.332, 0.670], [0.489, 0.173, 0.833], [0.007, 0.334, 0.164], [0.505, 0.498, 0.499], [0.992, 0.001, 0.505], [0.495, 0.169, 0.335], [0.504, 0.837, 0.161], [0.996, 0.002, 0.999], [0.508, 0.499, 0.998], [0.004, 0.663, 0.334], [0.497, 0.833, 0.669]]
}

***

{
  "formula": "Pm2In3Cu",
  "functional": "PBE",
  "state": "relaxed",
  "spacegroup": "Fmmm, No. 69",
  "formation_enthalpy_0k_ev_per_fu": -2.46,
  "lattice": [[5.911, -0.011, -1.545], [-1.934, 5.585, -1.545], [0.009, 0.012, 9.167]],
  "species": ["Pm", "Pm", "Pm", "Pm", "Cu", "Cu", "In", "In", "In", "In", "In", "In"],
  "fractional_positions": [[0.250, 0.750, 0.500], [0.750, 0.250, 0.500], [0.747, 0.747, 0.000], [0.253, 0.253, 0.000], [0.332, 0.332, 0.665], [0.668, 0.668, 0.335], [0.173, 0.653, 0.826], [0.653, 0.173, 0.826], [0.827, 0.347, 0.174], [0.347, 0.827, 0.174], [0.827, 0.827, 0.653], [0.173, 0.173, 0.347]]
}

***

{
  "formula": "CeTm5Bi2",
  "functional": "PBE",
  "state": "relaxed",
  "spacegroup": "Cmcm, No. 63",
  "formation_enthalpy_0k_ev_per_fu": -1.56,
  "lattice": [[-2.153, 0.403, -5.055], [-4.408, -2.295, 4.696], [-4.064, 13.559, 2.812]],
  "species": ["Bi", "Bi", "Bi", "Bi", "Tm", "Tm", "Tm", "Tm", "Tm", "Tm", "Tm", "Tm", "Tm", "Tm", "Ce", "Ce"],
  "fractional_positions": [[0.864, 0.729, 0.097], [0.136, 0.271, 0.597], [0.864, 0.729, 0.403], [0.136, 0.271, 0.903], [0.107, 0.214, 0.136], [0.687, 0.374, 0.250], [0.107, 0.214, 0.364], [0.313, 0.626, 0.750], [0.362, 0.724, 0.998], [0.893, 0.786, 0.636], [0.893, 0.786, 0.864], [0.638, 0.276, 0.002], [0.638, 0.276, 0.498], [0.362, 0.724, 0.502], [0.421, 0.841, 0.250], [0.579, 0.159, 0.750]]
}